1.
# NdY5Mg, optimized geometry, DFT PBE-GGA
data_NdY5Mg
_space_group_name_H-M_alt 'P 1 21/m 1'
_space_group_IT_number 11
_cell_length_a 5.5383
_cell_length_b 12.4406
_cell_length_c 6.5344
_cell_angle_alpha 90.00
_cell_angle_beta 90.02
_cell_angle_gamma 90.00
loop_
_space_group_symop_operation_xyz
'x,y,z'
'-x,-y,-z'
'-x,y+1/2,-z'
'x,-y+1/2,z'
loop_
_atom_site_label
_atom_site_fract_x
_atom_site_fract_y
_atom_site_fract_z
_atom_site_occupancy
Nd1 0.9996 0.2500 0.2500 1
Y1 0.9997 0.0718 0.7481 1
Y2 0.4995 0.2500 0.9151 1
Y3 0.4996 0.1174 0.4168 1
Mg1 0.5000 0.0000 0.0000 1
# - energy above the lowest structure with this stoichiometry (kJ/mol of formula units) = 0
# - crystal system = monoclinic

=====

2.
# Nd2YMg2, optimized geometry, DFT PBE-GGA
data_Nd2YMg2
_space_group_name_H-M_alt 'I m m m'
_space_group_IT_number 71
_space_group_name_Hall '-I 2 2'
_cell_length_a 5.2616
_cell_length_b 7.0912
_cell_length_c 8.2711
_cell_angle_alpha 90.00
_cell_angle_beta 90.00
_cell_angle_gamma 90.00
loop_
_atom_site_label
_atom_site_fract_x
_atom_site_fract_y
_atom_site_fract_z
_atom_site_occupancy
Nd1 0.0000 0.0000 0.1940 1
Y1 0.0000 0.5000 0.0000 1
Mg1 0.0000 0.2915 0.5000 1
# - energy above the lowest structure with this stoichiometry (kJ/mol of formula units) = 51
# - crystal system = orthorhombic

=====

3.
# Nd3Y3Mg2, optimized geometry, DFT PBE-GGA
data_Nd3Y3Mg2
_space_group_name_H-M_alt 'C m c m'
_space_group_IT_number 63
_space_group_name_Hall '-C 2c 2'
_cell_length_a 5.4016
_cell_length_b 11.8796
_cell_length_c 15.7779
_cell_angle_alpha 90.00
_cell_angle_beta 90.00
_cell_angle_gamma 90.00
loop_
_atom_site_label
_atom_site_fract_x
_atom_site_fract_y
_atom_site_fract_z
_atom_site_occupancy
Nd1 0.0000 0.0370 0.1043 1
Nd2 0.0000 0.2470 0.2500 1
Y1 0.0000 0.3544 0.0337 1
Y2 0.0000 0.4773 0.7500 1
Mg1 0.0000 0.2300 0.6452 1
# - crystal system = orthorhombic

=====

4.
# Nd8Y2Mg, optimized geometry, DFT PBE-GGA
data_Nd8Y2Mg
_space_group_name_H-M_alt 'I m m m'
_space_group_IT_number 71
_space_group_name_Hall '-I 2 2'
_cell_length_a 5.6750
_cell_length_b 7.7562
_cell_length_c 17.2842
_cell_angle_alpha 90.00
_cell_angle_beta 90.00
_cell_angle_gamma 90.00
loop_
_atom_site_label
_atom_site_fract_x
_atom_site_fract_y
_atom_site_fract_z
_atom_site_occupancy
Nd1 0.0000 0.0000 0.1760 1
Nd2 0.0000 0.2183 0.3661 1
Nd3 0.0000 0.2665 0.0000 1
Y1 0.0000 0.5000 0.1949 1
Mg1 0.0000 0.5000 0.5000 1
# - energy above the lowest structure with this stoichiometry (kJ/mol of formula units) = 0
# - crystal system = orthorhombic

=====

Number 1: V 32.158 Å³/atom, ΔH_f (0 K) 0.064 eV per atom. Number 2: V 30.861 Å³/atom, ΔH_f (0 K) 0.027 eV per atom. Number 3: V 31.639 Å³/atom, ΔH_f (0 K) 0.045 eV per atom. Number 4: V 34.581 Å³/atom, ΔH_f (0 K) 0.096 eV per atom.